Density functional theory data (GGA-PBE) for a relaxed structure of FeCu2W.

Cell and atoms, written as CIF:
```
data_FeCu2W
_chemical_formula_sum 'Fe2 Cu4 W2'
_cell_length_a 4.982
_cell_length_b 8.117
_cell_length_c 2.571
_cell_angle_alpha 90.00
_cell_angle_beta 90.16
_cell_angle_gamma 90.00
_space_group_name_H-M_alt 'C 1 2/m 1'
_space_group_IT_number 12
loop_
_space_group_symop_operation_xyz
'x,y,z'
'-x,-y,-z'
'-x,y,-z'
'x,-y,z'
'x+1/2,y+1/2,z'
'-x+1/2,-y+1/2,-z'
'-x+1/2,y+1/2,-z'
'x+1/2,-y+1/2,z'
loop_
_atom_site_label
_atom_site_type_symbol
_atom_site_fract_x
_atom_site_fract_y
_atom_site_fract_z
Fe1 Fe 0.000 0.000 0.000
Cu1 Cu 0.250 0.250 0.500
W1 W 0.000 0.500 0.000
```

## Properties
The calculation puts the size of the total moment at 2.90 μB per cell. As for the energy of formation: 0.346 eV/atom. As for the excess energy over the best structure of this formula in the dataset: 3.23 kcal/mol of atoms.